The following is a DFT calculation (PBE-GGA) of an optimized crystal structure of LiGdMg2.

Cell: 3.535 3.535 7.806 Å, 90.00 90.00 90.00°
Atoms (fractional coordinates):
Li  0.000  0.000  0.000
Gd  0.000  0.000  0.500
Mg  0.500  0.500  0.213
Mg  0.500  0.500  0.787

Relative energy among the computed polymorphs (eV/atom): 0.000

The following is a DFT calculation (PBE-GGA) of an optimized crystal structure of LiGdMg2.

Cell: 5.369 5.369 3.604 Å, 90.00 90.00 90.00°
Atoms (fractional coordinates):
Li  0.000  0.000  0.000
Gd  0.500  0.500  0.000
Mg  0.000  0.500  0.500
Mg  0.500  0.000  0.500

Relative energy among the computed polymorphs (eV/atom): 0.087

The following is a DFT calculation (PBE-GGA) of an optimized crystal structure of LiGdMg3.

Cell: 4.935 4.935 4.935 Å, 90.00 90.00 90.00°
Atoms (fractional coordinates):
Li  0.000  0.000  0.000
Gd  0.500  0.500  0.500
Mg  0.000  0.000  0.500
Mg  0.000  0.500  0.000
Mg  0.500  0.000  0.000

The following is a DFT calculation (PBE-GGA) of an optimized crystal structure of LiGdMg2.

Cell: 5.191 5.191 5.191 Å, 60.00 60.00 60.00°
Atoms (fractional coordinates):
Li  0.000  0.000  0.000
Gd  0.500  0.500  0.500
Mg  0.250  0.250  0.250
Mg  0.750  0.750  0.750

Relative energy among the computed polymorphs (eV/atom): 0.078

The following is a DFT calculation (PBE-GGA) of an optimized crystal structure of LiGdMgOs.

Cell: 4.753 4.753 4.753 Å, 60.00 60.00 60.00°
Atoms (fractional coordinates):
Li  0.000  0.000  0.000
Gd  0.250  0.250  0.250
Mg  0.750  0.750  0.750
Os  0.500  0.500  0.500

The following is a DFT calculation (PBE-GGA) of an optimized crystal structure of LiGdMgPb.

Cell: 5.215 5.215 5.215 Å, 60.00 60.00 60.00°
Atoms (fractional coordinates):
Li  0.000  0.000  0.000
Gd  0.500  0.500  0.500
Mg  0.250  0.250  0.250
Pb  0.750  0.750  0.750

The following is a DFT calculation (PBE-GGA) of an optimized crystal structure of LiGdMgPd.

Cell: 4.914 4.914 4.914 Å, 60.00 60.00 60.00°
Atoms (fractional coordinates):
Li  0.000  0.000  0.000
Gd  0.500  0.500  0.500
Mg  0.250  0.250  0.250
Pd  0.750  0.750  0.750

The following is a DFT calculation (PBE-GGA) of an optimized crystal structure of LiPmGdMg.

Cell: 5.395 5.395 5.395 Å, 60.00 60.00 60.00°
Atoms (fractional coordinates):
Li  0.000  0.000  0.000
Pm  0.750  0.750  0.750
Gd  0.250  0.250  0.250
Mg  0.500  0.500  0.500

The following is a DFT calculation (PBE-GGA) of an optimized crystal structure of LiGdMgRh.

Cell: 4.785 4.785 4.785 Å, 60.00 60.00 60.00°
Atoms (fractional coordinates):
Li  0.000  0.000  0.000
Gd  0.250  0.250  0.250
Mg  0.750  0.750  0.750
Rh  0.500  0.500  0.500

The following is a DFT calculation (PBE-GGA) of an optimized crystal structure of LiGdMgSi.

Cell: 4.810 4.810 4.810 Å, 60.00 60.00 60.00°
Atoms (fractional coordinates):
Li  0.000  0.000  0.000
Gd  0.750  0.750  0.750
Mg  0.250  0.250  0.250
Si  0.500  0.500  0.500

Formation energy without anion corrections (meV/atom): -250

The following is a DFT calculation (PBE-GGA) of an optimized crystal structure of LiSmGdMg.

Cell: 5.382 5.382 5.382 Å, 60.00 60.00 60.00°
Atoms (fractional coordinates):
Li  0.000  0.000  0.000
Sm  0.250  0.250  0.250
Gd  0.750  0.750  0.750
Mg  0.500  0.500  0.500

The following is a DFT calculation (PBE-GGA) of an optimized crystal structure of LiGdMgSn.

Cell: 5.098 5.098 5.098 Å, 60.00 60.00 60.00°
Atoms (fractional coordinates):
Li  0.000  0.000  0.000
Gd  0.750  0.750  0.750
Mg  0.250  0.250  0.250
Sn  0.500  0.500  0.500

The following is a DFT calculation (PBE-GGA) of an optimized crystal structure of SrLiGdMg.

Cell: 5.646 5.646 5.646 Å, 60.00 60.00 60.00°
Atoms (fractional coordinates):
Sr  0.000  0.000  0.000
Li  0.250  0.250  0.250
Gd  0.500  0.500  0.500
Mg  0.750  0.750  0.750

The following is a DFT calculation (PBE-GGA) of an optimized crystal structure of LiGdMgTc.

Cell: 4.791 4.791 4.791 Å, 60.00 60.00 60.00°
Atoms (fractional coordinates):
Li  0.000  0.000  0.000
Gd  0.750  0.750  0.750
Mg  0.250  0.250  0.250
Tc  0.500  0.500  0.500

The following is a DFT calculation (PBE-GGA) of an optimized crystal structure of LiGdMgZn.

Cell: 4.908 4.908 4.908 Å, 60.00 60.00 60.00°
Atoms (fractional coordinates):
Li  0.000  0.000  0.000
Gd  0.250  0.250  0.250
Mg  0.750  0.750  0.750
Zn  0.500  0.500  0.500

The following is a DFT calculation (PBE-GGA) of an optimized crystal structure of LiGd2Mn.

Cell: 3.464 3.464 8.173 Å, 90.00 90.00 90.00°
Atoms (fractional coordinates):
Li  0.000  0.000  0.000
Gd  0.500  0.500  0.285
Gd  0.500  0.500  0.715
Mn  0.000  0.000  0.500

What total energy values result from the calculations? In sequence: -4.857, -4.770, -4.048, -4.779, -7.210, -5.588, -5.959, -5.572, -6.638, -6.003, -5.561, -5.711, -4.745, -6.800, -4.907, -9.722 eV/atom.